Record 1
VASP calculation (PBE) on a relaxed KTiSn2Br8 crystal. Values from VASP.

```
&SYSTEM
  ibrav = 0, nat = 12, ntyp = 4
/
ATOMIC_SPECIES
K 39.10 K.upf
Ti 47.87 Ti.upf
Sn 118.71 Sn.upf
Br 79.90 Br.upf
ATOMIC_POSITIONS crystal
K 0.0000 0.0000 0.0000
Ti 0.0000 0.0000 0.5000
Sn 0.4998 0.5004 0.2573
Sn 0.5002 0.4996 0.7427
Br 0.2164 0.3032 0.5003
Br 0.2333 0.8511 0.7070
Br 0.2344 0.8521 0.2923
Br 0.2740 0.3687 0.0004
Br 0.7260 0.6313 0.9996
Br 0.7656 0.1479 0.7077
Br 0.7667 0.1489 0.2930
Br 0.7836 0.6968 0.4997
CELL_PARAMETERS angstrom
6.6733 0.0000 0.0000
0.2353 7.0392 0.0000
0.0184 0.0004 8.8758
```

**DFT total energy**: -3.553 eV per atom
**SG**: P-1 (2)
**DOS(E_F)**: 5.901 states/eV per cell


Record 2
VASP calculation (PBE) on a relaxed Tm4GaCo crystal. Values from VASP.

```
&SYSTEM
  ibrav = 0, nat = 12, ntyp = 3
/
ATOMIC_SPECIES
Tm 168.93 Tm.upf
Ga 69.72 Ga.upf
Co 58.93 Co.upf
ATOMIC_POSITIONS crystal
Tm 0.0583 0.7098 0.9233
Tm 0.2173 0.3523 0.6796
Tm 0.2902 0.9417 0.5767
Tm 0.3523 0.2173 0.1796
Tm 0.6477 0.7827 0.8204
Tm 0.7098 0.0583 0.4233
Tm 0.7827 0.6477 0.3204
Tm 0.9417 0.2902 0.0767
Ga 0.3700 0.6300 0.2500
Ga 0.6300 0.3700 0.7500
Co 0.0000 0.0000 0.2500
Co 0.0000 0.0000 0.7500
CELL_PARAMETERS angstrom
4.3084 -6.4648 0.0000
4.3084 6.4648 0.0000
-2.6068 0.0000 5.2319
```

**SG**: C2/c (15)
**DOS(E_F)**: 12.306 states/eV per cell
**Energy of formation**: -7.0 kcal/mol of atoms


Record 3
VASP calculation (PBE) on a relaxed MgZnCd crystal. Values from VASP.

```
&SYSTEM
  ibrav = 0, nat = 12, ntyp = 3
/
ATOMIC_SPECIES
Mg 24.30 Mg.upf
Zn 65.41 Zn.upf
Cd 112.41 Cd.upf
ATOMIC_POSITIONS crystal
Mg 0.1208 0.6292 0.6292
Mg 0.3708 0.8792 0.8792
Mg 0.6292 0.1208 0.1208
Mg 0.8792 0.3708 0.3708
Zn 0.0000 0.5000 0.5000
Zn 0.5000 0.0000 0.5000
Zn 0.5000 0.5000 0.0000
Zn 0.5000 0.5000 0.5000
Cd 0.0671 0.0671 0.6829
Cd 0.3171 0.3171 0.9329
Cd 0.6829 0.6829 0.0671
Cd 0.9329 0.9329 0.3171
CELL_PARAMETERS angstrom
0.0000 5.9551 7.9815
2.8675 0.0000 7.9815
2.8675 5.9551 0.0000
```

**SG**: Fddd (70)
**DOS(E_F)**: 3.584 states/eV per cell
**Energy of formation**: 4.3 kcal/mol of atoms
**Energy relative to the lowest polymorph listed for this composition**: 231.4 meV per atom


Record 4
VASP calculation (PBE) on a relaxed RbZn2InO4 crystal. Values from VASP.

```
&SYSTEM
  ibrav = 0, nat = 8, ntyp = 4
/
ATOMIC_SPECIES
Rb 85.47 Rb.upf
Zn 65.41 Zn.upf
In 114.82 In.upf
O 16.00 O.upf
ATOMIC_POSITIONS crystal
Rb 0.0000 0.0000 0.0000
Zn 0.2500 0.7500 0.5000
Zn 0.7500 0.2500 0.5000
In 0.5000 0.5000 0.0000
O 0.1357 0.1357 0.5903
O 0.4546 0.8643 0.0000
O 0.5454 0.5454 0.4097
O 0.8643 0.4546 0.0000
CELL_PARAMETERS angstrom
-2.6374 2.6374 4.4903
2.6374 -2.6374 4.4903
2.6374 2.6374 -4.4903
```

**DFT total energy**: -4.551 eV per atom
**SG**: I-42m (121)


Record 5
VASP calculation (PBE) on a relaxed MnTc2Br crystal. Values from VASP.

```
&SYSTEM
  ibrav = 0, nat = 4, ntyp = 3
/
ATOMIC_SPECIES
Mn 54.94 Mn.upf
Tc 98.00 Tc.upf
Br 79.90 Br.upf
ATOMIC_POSITIONS crystal
Mn 0.0000 0.0000 0.0000
Tc 0.2548 0.2548 0.2548
Tc 0.7452 0.7452 0.7452
Br 0.5000 0.5000 0.5000
CELL_PARAMETERS angstrom
1.4547 0.8399 8.3393
-1.4547 0.8399 8.3393
0.0000 -1.6798 8.3393
```

**SG**: R-3m (166)
**DOS(E_F)**: 3.905 states/eV per cell
**Energy relative to the lowest polymorph listed for this composition**: 284.4 meV per atom


Record 6
VASP calculation (PBE) on a relaxed TeAuCI2 crystal. Values from VASP.

```
&SYSTEM
  ibrav = 0, nat = 5, ntyp = 4
/
ATOMIC_SPECIES
Te 127.60 Te.upf
Au 196.97 Au.upf
C 12.01 C.upf
I 126.90 I.upf
ATOMIC_POSITIONS crystal
Te 0.0000 0.0000 0.0000
Au 0.5000 0.5000 0.0000
C 0.0000 0.0000 0.5000
I 0.0000 0.5000 0.5000
I 0.5000 0.0000 0.5000
CELL_PARAMETERS angstrom
5.1623 0.0000 0.0000
0.0000 5.1623 0.0000
0.0000 0.0000 4.6529
```

**SG**: P4/mmm (123)
**DOS(E_F)**: 4.431 states/eV per cell
**Energy relative to the lowest polymorph listed for this composition**: 0.0 meV per atom


Record 7
VASP calculation (PBE) on a relaxed Na2NpHgO6 crystal. Values from VASP.

```
&SYSTEM
  ibrav = 0, nat = 10, ntyp = 4
/
ATOMIC_SPECIES
Na 22.99 Na.upf
Np 237.00 Np.upf
Hg 200.59 Hg.upf
O 16.00 O.upf
ATOMIC_POSITIONS crystal
Na 0.2494 0.2494 0.1903
Na 0.7506 0.7506 0.8097
Np 0.0000 0.0000 0.5000
Hg 0.5000 0.5000 0.0000
O 0.1700 0.6715 0.1783
O 0.1776 0.1776 0.5308
O 0.3285 0.8300 0.8217
O 0.6715 0.1700 0.1783
O 0.8224 0.8224 0.4692
O 0.8300 0.3285 0.8217
CELL_PARAMETERS angstrom
5.4973 -2.8948 0.0000
5.4973 2.8948 0.0000
-2.6021 0.0000 4.7595
```

**DFT total energy**: -6.277 eV per atom
**SG**: C2/m (12)
**DOS(E_F)**: 2.762 states/eV per cell


Record 8
VASP calculation (PBE) on a relaxed NaSrH2Pb crystal. Values from VASP.

```
&SYSTEM
  ibrav = 0, nat = 5, ntyp = 4
/
ATOMIC_SPECIES
Na 22.99 Na.upf
Sr 87.62 Sr.upf
H 1.01 H.upf
Pb 207.20 Pb.upf
ATOMIC_POSITIONS crystal
Na 0.0000 0.0000 0.0000
Sr 0.0000 0.0000 0.5000
H 0.0000 0.5000 0.0000
H 0.5000 0.0000 0.0000
Pb 0.5000 0.5000 0.5000
CELL_PARAMETERS angstrom
4.6161 0.0000 0.0000
0.0000 4.6161 0.0000
0.0000 0.0000 6.1066
```

**DFT total energy**: -2.176 eV per atom
**SG**: P4/mmm (123)
**DOS(E_F)**: 3.828 states/eV per cell